No. 1
{"formula": "GeAs3P", "functional": "meta-GGA SCAN", "state": "single point on PBEsol structure", "cell": [[4.7130, 0.0000, 0.0000], [0.0000, 4.7130, 0.0000], [0.0000, 0.0000, 4.7130]], "species": ["As", "As", "As", "Ge", "P"], "frac_coords": [[0.5000, 0.0000, 0.0000], [0.0000, 0.5000, 0.0000], [0.0000, 0.0000, 0.5000], [0.5000, 0.5000, 0.5000], [0.0000, 0.0000, 0.0000]], "e_form_mev_per_atom": 822, "sg": "No. 221"}



No. 2
{"formula": "GeTeAsP2", "functional": "meta-GGA SCAN", "state": "single point on PBEsol structure", "cell": [[-3.1219, -2.4810, -2.9238], [1.1043, -4.1923, 2.3782], [-3.9296, 0.9081, 3.4254]], "species": ["P", "P", "As", "Te", "Ge"], "frac_coords": [[0.0000, 0.5000, 0.0000], [0.5000, 0.0000, 0.0000], [0.5000, 0.5000, 0.5000], [0.0000, 0.0000, 0.0000], [0.0000, 0.0000, 0.5000]], "e_form_raw_mev_per_atom": 1467, "sg": "No. 123"}



No. 3
{"formula": "TlGe2AsP", "functional": "meta-GGA SCAN", "state": "single point on PBEsol structure", "cell": [[4.7605, 0.0000, 0.0000], [0.0000, 4.7605, 0.0000], [0.0000, 0.0000, 5.1101]], "species": ["As", "Tl", "P", "Ge", "Ge"], "frac_coords": [[0.5000, 0.5000, 0.5000], [0.0000, 0.0000, 0.5000], [0.0000, 0.0000, 0.0000], [0.5000, 0.0000, 0.0000], [0.0000, 0.5000, 0.0000]], "e_form_mev_per_atom": 728, "sg": "No. 123"}



No. 4
{"formula": "Zr2GeAsP", "functional": "meta-GGA SCAN", "state": "single point on PBEsol structure", "cell": [[-2.3665, -3.5701, -1.1338], [3.7005, -1.4836, -3.0520], [2.0795, -2.5771, 3.7741]], "species": ["As", "P", "Ge", "Zr", "Zr"], "frac_coords": [[0.0000, 0.0000, 0.0000], [0.5000, 0.0000, 0.0000], [0.5000, 0.5000, 0.5000], [0.0000, 0.0000, 0.5000], [0.0000, 0.5000, 0.0000]], "e_form_mev_per_atom": 327, "sg": "No. 123"}



No. 5
{"formula": "GeAs2PbSe", "functional": "meta-GGA SCAN", "state": "single point on PBEsol structure", "cell": [[5.2678, 0.0000, 0.0000], [0.0000, 5.2678, 0.0000], [0.0000, 0.0000, 5.3084]], "species": ["Pb", "As", "As", "Se", "Ge"], "frac_coords": [[0.0000, 0.0000, 0.0000], [0.5000, 0.0000, 0.0000], [0.0000, 0.5000, 0.0000], [0.0000, 0.0000, 0.5000], [0.5000, 0.5000, 0.5000]], "e_form_raw_mev_per_atom": 1154, "sg": "No. 123"}



No. 6
{"formula": "GeAsPbSe2", "functional": "meta-GGA SCAN", "state": "single point on PBEsol structure", "cell": [[-1.6132, -4.9665, -0.7189], [5.0402, -1.5436, -0.6464], [0.3985, -0.8852, 5.2213]], "species": ["Se", "Se", "Pb", "Ge", "As"], "frac_coords": [[0.0000, 0.5000, 0.0000], [0.0000, 0.0000, 0.5000], [0.0000, 0.0000, 0.0000], [0.5000, 0.5000, 0.5000], [0.5000, 0.0000, 0.0000]], "e_form_raw_mev_per_atom": 940, "sg": "No. 123"}



No. 7
{"formula": "Ge2AsPbSe", "functional": "meta-GGA SCAN", "state": "single point on PBEsol structure", "cell": [[-3.2477, 2.7606, 2.5960], [1.6353, -2.0632, 4.2399], [3.4707, 3.6648, 0.4448]], "species": ["Ge", "Ge", "As", "Pb", "Se"], "frac_coords": [[0.0000, 0.5000, 0.0000], [0.5000, 0.0000, 0.0000], [0.0000, 0.0000, 0.0000], [0.5000, 0.5000, 0.5000], [0.0000, 0.0000, 0.5000]], "e_form_raw_mev_per_atom": 515, "sg": "No. 123"}



No. 8
{"formula": "GeAsPb2W", "functional": "meta-GGA SCAN", "state": "single point on PBEsol structure", "cell": [[4.7567, 0.0000, 0.0000], [0.0000, 5.3464, 0.0000], [0.0000, 0.0000, 5.3464]], "species": ["Pb", "Pb", "W", "Ge", "As"], "frac_coords": [[0.0000, 0.0000, 0.5000], [0.0000, 0.5000, 0.0000], [0.5000, 0.5000, 0.5000], [0.0000, 0.0000, 0.0000], [0.5000, 0.0000, 0.0000]], "e_form_mev_per_atom": 1644, "sg": "No. 123"}



No. 9
{"formula": "GeAs3Pd", "functional": "meta-GGA SCAN", "state": "single point on PBEsol structure", "cell": [[-2.9720, -0.9006, -3.6825], [-2.8275, -2.5904, 2.9154], [-2.5253, 3.9602, 1.0696]], "species": ["As", "As", "As", "Pd", "Ge"], "frac_coords": [[0.5000, 0.0000, 0.0000], [0.0000, 0.5000, 0.0000], [0.0000, 0.0000, 0.5000], [0.0000, 0.0000, 0.0000], [0.5000, 0.5000, 0.5000]], "e_form_mev_per_atom": 719, "sg": "No. 221"}



No. 10
{"formula": "GeTe2AsPd", "functional": "meta-GGA SCAN", "state": "single point on PBEsol structure", "cell": [[-0.7664, 4.4887, -0.1155], [-4.7003, -0.8685, -2.5634], [-2.5480, -0.3121, 4.7778]], "species": ["Te", "Te", "Ge", "Pd", "As"], "frac_coords": [[0.0000, 0.0000, 0.5000], [0.0000, 0.5000, 0.0000], [0.5000, 0.5000, 0.5000], [0.5000, 0.0000, 0.0000], [0.0000, 0.0000, 0.0000]], "e_form_raw_mev_per_atom": 504, "sg": "No. 123"}



No. 11
{"formula": "Ge2AsPt2", "functional": "meta-GGA SCAN", "state": "single point on PBEsol structure", "cell": [[3.8915, 0.0000, 0.0000], [0.0000, 3.8915, 0.0000], [-1.9458, -1.9458, 5.7992]], "species": ["Ge", "Ge", "Pt", "Pt", "As"], "frac_coords": [[0.7500, 0.2500, 0.5000], [0.2500, 0.7500, 0.5000], [0.3851, 0.3851, 0.7702], [0.6149, 0.6149, 0.2298], [0.0000, 0.0000, 0.0000]], "e_form_mev_per_atom": -92, "sg": "No. 139"}



No. 12
{"formula": "GeSbAsPt2", "functional": "meta-GGA SCAN", "state": "single point on PBEsol structure", "cell": [[4.6519, 0.0000, 0.0000], [0.0000, 4.6519, 0.0000], [0.0000, 0.0000, 4.9015]], "species": ["Pt", "Pt", "Ge", "As", "Sb"], "frac_coords": [[0.0000, 0.5000, 0.0000], [0.5000, 0.0000, 0.0000], [0.0000, 0.0000, 0.0000], [0.0000, 0.0000, 0.5000], [0.5000, 0.5000, 0.5000]], "e_form_raw_mev_per_atom": 594, "sg": "No. 123"}



| no. | total energy (eV/atom) |
| --- | --- |
| 1 | -17.1896 |
| 2 | -17.9984 |
| 3 | -27.4967 |
| 4 | -21.8877 |
| 5 | -29.9122 |
| 6 | -30.1029 |
| 7 | -30.3297 |
| 8 | -50.4620 |
| 9 | -21.7677 |
| 10 | -28.8068 |
| 11 | -39.8420 |
| 12 | -42.7915 |